a | DFT (GGA-PBE) results for ZrTaAgMo2 after structural relaxation.

Cell lengths 4.826, 4.842, 4.826 Å; angles 90.00, 90.00, 90.00 degrees
Atoms (fractional coordinates):
Zr 0.000 0.500 0.000
Ag 0.000 0.000 0.000
Mo 0.500 0.000 0.000
Mo 0.000 0.000 0.500
Ta 0.500 0.500 0.500

Summary:
SG: P4/mmm

b | DFT (GGA-PBE) results for ZrTaAgMo2 after structural relaxation.

Cell lengths 4.737, 4.997, 4.737 Å; angles 90.00, 90.00, 90.00 degrees
Atoms (fractional coordinates):
Mo 0.000 0.000 0.500
Mo 0.500 0.000 0.000
Ag 0.000 0.500 0.000
Zr 0.500 0.500 0.500
Ta 0.000 0.000 0.000

Summary:
SG: P4/mmm

The structure with the most favorable energy is b; the runner-up is 683 meV per atom above it.

a | DFT (GGA-PBE) results for TcAg2Mo after structural relaxation.

Cell lengths 9.560, 9.560, 9.560 Å; angles 17.18, 17.18, 17.18 degrees
Atoms (fractional coordinates):
Ag 0.249 0.249 0.249
Ag 0.002 0.002 0.002
Tc 0.755 0.755 0.755
Mo 0.494 0.494 0.494

Summary:
SG: R3m

b | DFT (GGA-PBE) results for TcAg2Mo after structural relaxation.

Cell lengths 4.874, 4.874, 5.312 Å; angles 85.46, 85.46, 31.43 degrees
Atoms (fractional coordinates):
Tc 0.257 0.257 0.275
Mo 0.495 0.495 0.476
Ag 0.748 0.748 0.764
Ag 0.000 0.000 0.986

Summary:
SG: Cm

c | DFT (GGA-PBE) results for TcAg2Mo after structural relaxation.

Cell lengths 4.849, 4.849, 4.849 Å; angles 130.45, 130.45, 72.69 degrees
Atoms (fractional coordinates):
Ag 0.250 0.750 0.500
Ag 0.000 0.000 0.000
Mo 0.500 0.500 0.000
Tc 0.750 0.250 0.500

Summary:
SG: I-4m2

d | DFT (GGA-PBE) results for TcAg2Mo after structural relaxation.

Cell lengths 3.015, 3.015, 7.561 Å; angles 90.00, 90.00, 90.00 degrees
Atoms (fractional coordinates):
Mo 0.000 0.000 0.535
Ag 0.000 0.000 0.993
Ag 0.500 0.500 0.254
Tc 0.500 0.500 0.718

Summary:
SG: P4mm

The structure with the most favorable energy is a; the runner-up is 40 meV per atom above it.

a | DFT (GGA-PBE) results for TcAg2Mo after structural relaxation.

Cell lengths 5.941, 5.316, 2.650 Å; angles 90.04, 63.42, 116.57 degrees
Atoms (fractional coordinates):
Mo 0.000 0.500 0.500
Ag 0.500 0.000 0.500
Ag 0.000 0.000 0.000
Tc 0.500 0.500 0.000

Summary:
SG: C2/m

b | DFT (GGA-PBE) results for TcAg2Mo after structural relaxation.

Cell lengths 2.663, 2.663, 9.149 Å; angles 90.00, 90.00, 89.62 degrees
Atoms (fractional coordinates):
Ag 0.000 0.000 0.998
Ag 0.000 0.000 0.502
Tc 0.500 0.500 0.750
Mo 0.500 0.500 0.250

Summary:
SG: Cmmm

c | DFT (GGA-PBE) results for TcAg2Mo after structural relaxation.

Cell lengths 4.596, 2.652, 5.942 Å; angles 63.36, 90.00, 90.00 degrees
Atoms (fractional coordinates):
Ag 0.000 0.500 0.500
Ag 0.000 0.000 0.000
Mo 0.500 0.250 0.250
Tc 0.500 0.750 0.750

Summary:
SG: P2/m

The structure with the most favorable energy is c; the runner-up is 13 meV per atom above it.